12
Lattice="-5.097 -4.617 -2.633 5.145 -2.464 4.657 -4.196 3.877 4.751" Properties=species:S:1:pos:R:3 comment="Na3Nd2SbSe6, relaxed, DFT GGA-PBE" e_tot_ev_per_atom=-4.545 e_form_raw_ev_per_atom=-1.334 pbc="T T T"
Na 1.373 -0.877 5.841
Se -2.645 -1.150 0.415
Se 0.697 -0.448 2.794
Se -0.941 -4.415 2.625
Na -5.522 -2.326 0.933
Sb 0.000 0.000 0.000
Nd 1.734 -3.181 2.229
Se -1.503 -2.053 6.360
Na -2.074 -1.602 3.387
Se -3.208 1.212 4.150
Se -4.846 -2.756 3.981
Nd -1.686 -3.900 -0.205

=====

12
Lattice="-0.184 -4.729 -5.548 -0.200 -2.430 6.872 -6.902 2.746 -0.517" Properties=species:S:1:pos:R:3 comment="Na3NdSb2Se6, relaxed, DFT GGA-PBE" e_tot_ev_per_atom=-4.144 e_form_raw_ev_per_atom=-0.987 pbc="T T T"
Se -5.587 -3.671 -1.516
Nd 0.000 0.000 0.000
Se -1.694 -1.525 -1.908
Sb -0.195 -3.196 2.732
Na -3.643 -2.206 0.404
Na -3.648 -1.446 4.511
Se -5.592 -2.887 2.716
Sb -0.190 -3.962 -1.407
Se -5.385 0.225 -0.048
Na -3.638 -2.966 -3.704
Se -1.901 -4.637 0.856
Se -1.699 -0.742 2.324